No. 1
DFT (GGA-PBE) results for InCoSiAu2 after structural relaxation.

Total DFT energy (no corrections) in eV/atom: -3.56

Lattice parameters (Å, degrees): 4.708 5.233 4.708 90.00 90.00 90.00
Each line ends with the local moment (μB).
Fractional coordinates of all 5 atoms:
Co 0.500 0.500 0.500  2.08
Si 0.000 0.000 0.000  0.03
Au 0.000 0.000 0.500  0.01
Au 0.500 0.000 0.000  0.02
In 0.000 0.500 0.000  0.00

No. 2
DFT (GGA-PBE) results for Cd3PtCl after structural relaxation.

Total DFT energy (no corrections) in eV/atom: -2.33

Lattice parameters (Å, degrees): 5.245 5.245 5.245 90.00 90.00 90.00
Fractional coordinates of all 5 atoms:
Cl 0.500 0.500 0.500
Pt 0.000 0.000 0.000
Cd 0.000 0.500 0.000
Cd 0.000 0.000 0.500
Cd 0.500 0.000 0.000

No. 3
DFT (GGA-PBE) results for CdTeCl after structural relaxation.

Total DFT energy (no corrections) in eV/atom: -2.45

Lattice parameters (Å, degrees): 3.753 3.753 7.477 90.00 90.00 120.00
Fractional coordinates of all 3 atoms:
Cl 0.333 0.667 0.233
Te 0.667 0.333 0.745
Cd 0.000 0.000 0.022

> Which value of total DFT energy (no corrections) does entry 3 give?

-2.45 eV/atom

> Among the records above, which one has the highest total DFT energy (no corrections)?

Cd3PtCl